# 1
# CaY4Bi4O12

An optimized crystal structure of CaY4Bi4O12 (PBE-GGA, Alexandria).

a = 5.919 Å, b = 6.367 Å, c = 9.394 Å
α = 82.67°, β = 89.21°, γ = 88.57°
Space group P1 (No. 1)
Unique sites:
1 Ca 0.000 0.000 0.000 x1
2 Y 0.045 0.784 0.364 x1
3 Y 0.506 0.201 0.858 x1
4 Y 0.539 0.126 0.279 x1
5 Y 0.984 0.619 0.795 x1
6 Bi 0.039 0.395 0.146 x1
7 Bi 0.476 0.785 0.644 x1
8 Bi 0.525 0.681 0.091 x1
9 Bi 0.995 0.227 0.548 x1
10 O 0.157 0.616 0.588 x1
11 O 0.160 0.326 0.897 x1
12 O 0.263 0.872 0.825 x1
13 O 0.269 0.046 0.457 x1
14 O 0.292 0.915 0.174 x1
15 O 0.376 0.462 0.260 x1
16 O 0.662 0.471 0.726 x1
17 O 0.665 0.265 0.050 x1
18 O 0.748 0.915 0.826 x1
19 O 0.768 0.859 0.199 x1
20 O 0.783 0.999 0.463 x1
21 O 0.891 0.450 0.369 x1

=====

# 2
# CaY4Bi4O12

An optimized crystal structure of CaY4Bi4O12 (PBE-GGA, Alexandria).

a = 6.525 Å, b = 8.354 Å, c = 6.570 Å
α = 90.00°, β = 95.84°, γ = 90.00°
Space group Pm (No. 6)
Unique sites:
1 Ca 0.000 0.000 0.000 x1
2 Y 0.465 0.000 0.782 x1
3 Y 0.560 0.500 0.732 x1
4 Y 0.864 0.000 0.437 x1
5 Y 0.930 0.500 0.256 x1
6 Bi 0.079 0.319 0.727 x2
7 Bi 0.482 0.241 0.253 x2
8 O 0.124 0.300 0.402 x2
9 O 0.137 0.000 0.684 x1
10 O 0.345 0.000 0.127 x1
11 O 0.400 0.290 0.863 x2
12 O 0.633 0.160 0.563 x2
13 O 0.654 0.500 0.412 x1
14 O 0.780 0.166 0.155 x2
15 O 0.838 0.500 0.928 x1

=====

Looking at size of the total moment for the records above, in order, we have 0.0 0.0 Bohr magnetons per cell.
Looking at formation energy (no corrections) for the records above, in order, we have -2.281 -2.160 eV/atom.
Looking at energy above the most stable polymorph in this dataset for the records above, in order, we have 0 120 meV/atom.